Entry 1:
# Li2CdPb, PBEsol geometry, DFT meta-GGA SCAN
data_Li2CdPb
_cell_length_a 3.364
_cell_length_b 4.879
_cell_length_c 5.381
_cell_angle_alpha 105.07
_cell_angle_beta 108.21
_cell_angle_gamma 90.00
_space_group_name_H-M_alt 'P 1'
_space_group_IT_number 1
loop_
_space_group_symop_operation_xyz
'x,y,z'
loop_
_atom_site_label
_atom_site_fract_x
_atom_site_fract_y
_atom_site_fract_z
Li1 0.747 0.271 0.495
Li2 0.996 0.967 0.992
Pb1 0.498 0.466 0.995
Cd1 0.259 0.796 0.518
# raw total energy = -28.039 eV/atom
# energy of formation = -114 kJ/mol of formula units

---

Entry 2:
# Sr2FeIr, PBEsol geometry, DFT meta-GGA SCAN
data_Sr2FeIr
_cell_length_a 3.828
_cell_length_b 4.967
_cell_length_c 6.095
_cell_angle_alpha 114.05
_cell_angle_beta 108.30
_cell_angle_gamma 90.00
_space_group_name_H-M_alt 'P 1'
_space_group_IT_number 1
loop_
_space_group_symop_operation_xyz
'x,y,z'
loop_
_atom_site_label
_atom_site_fract_x
_atom_site_fract_y
_atom_site_fract_z
Sr1 0.764 0.764 0.527
Sr2 0.978 0.478 0.957
Ir1 0.193 0.193 0.385
Fe1 0.565 0.065 0.131
# raw total energy = -33.361 eV/atom
# energy of formation = 32 kJ/mol of formula units